(1)
VASP calculation (PBE) on a relaxed structure of LaSnAs2Se.

Calculated values
**Total magnetization**: 0.0 μB/cell
**Distance to the lowest polymorph of the same formula**: 415 meV per atom
**Mass density**: 4.49 g/cm3
**Uncorrected formation energy**: 5.10 kcal/mol of atoms
**Volume**: 35.991 Å³ per atom

a = 5.6433 Å, b = 5.6433 Å, c = 5.6505 Å
α = 90.00°, β = 90.00°, γ = 90.00°
Positions (direct):
1 La 0.0000 0.0000 0.0000
2 Sn 0.5000 0.5000 0.5000
3 As 0.0000 0.5000 0.0000
4 As 0.5000 0.0000 0.0000
5 Se 0.0000 0.0000 0.5000


(2)
VASP calculation (PBE) on a relaxed structure of Ni4Sb3.

Calculated values
**Total magnetization**: 0.0 μB/cell
**Mass density**: 8.16 g/cm3
**Uncorrected formation energy**: -1.80 kcal/mol of atoms
**Volume**: 17.451 Å³ per atom

a = 11.4297 Å, b = 11.4297 Å, c = 11.4297 Å
α = 163.38°, β = 163.38°, γ = 23.59°
Positions (direct):
1 Ni 0.0588 0.0588 0.0000
2 Ni 0.3838 0.3838 0.0000
3 Ni 0.6162 0.6162 0.0000
4 Ni 0.9412 0.9412 0.0000
5 Sb 0.1737 0.1737 0.0000
6 Sb 0.5000 0.5000 0.0000
7 Sb 0.8263 0.8263 0.0000


(3)
VASP calculation (PBE) on a relaxed structure of Na2Li2MgCd5.

Calculated values
**Total magnetization**: 0.0 μB/cell
**Mass density**: 4.67 g/cm3
**Formation energy**: -0.11 eV per atom
**Volume**: 22.972 Å³ per atom

a = 11.6493 Å, b = 11.6493 Å, c = 3.3855 Å
α = 90.00°, β = 90.00°, γ = 90.00°
Positions (direct):
1 Na 0.1784 0.3216 0.0000
2 Na 0.3216 0.8216 0.0000
3 Na 0.6784 0.1784 0.0000
4 Na 0.8216 0.6784 0.0000
5 Li 0.1297 0.6297 0.0000
6 Li 0.3703 0.1297 0.0000
7 Li 0.6297 0.8703 0.0000
8 Li 0.8703 0.3703 0.0000
9 Mg 0.0000 0.0000 0.0000
10 Mg 0.5000 0.5000 0.0000
11 Cd 0.0000 0.5000 0.5000
12 Cd 0.0458 0.7981 0.5000
13 Cd 0.2019 0.0458 0.5000
14 Cd 0.2981 0.5458 0.5000
15 Cd 0.4542 0.2981 0.5000
16 Cd 0.5000 0.0000 0.5000
17 Cd 0.5458 0.7019 0.5000
18 Cd 0.7019 0.4542 0.5000
19 Cd 0.7981 0.9542 0.5000
20 Cd 0.9542 0.2019 0.5000